# 1
First-principles (GGA-PBE) data for a relaxed structure of AsPt124, as listed in the Open Quantum Materials Database.

Cell and atoms, written as POSCAR:
```
AsPt124
1.0
0.000 9.882 9.882
9.882 0.000 9.882
9.882 9.882 0.000
As Pt
1 124
Cartesian
0.000 0.000 0.000
1.970 1.970 0.000
3.957 3.957 0.000
5.925 5.925 0.000
7.912 7.912 0.000
1.970 0.000 1.970
9.882 7.912 1.970
3.950 11.857 11.857
5.929 3.953 1.977
7.907 15.813 11.857
3.957 0.000 3.957
5.929 1.977 3.953
7.905 3.953 3.953
9.882 5.925 3.957
11.857 7.907 3.950
5.925 0.000 5.925
7.907 11.857 15.813
9.882 3.957 5.925
11.859 5.929 5.929
13.834 7.905 5.929
11.857 3.950 7.907
13.834 5.929 7.905
15.813 7.907 7.907
7.912 0.000 7.912
9.882 1.970 7.912
0.000 1.970 1.970
7.912 9.882 1.970
7.912 1.970 9.882
11.857 3.950 11.857
3.953 5.929 1.977
15.813 7.907 11.857
11.857 11.857 3.950
3.952 3.952 3.952
5.930 5.930 3.952
7.907 7.907 3.950
9.882 9.882 3.950
3.953 1.977 5.929
5.930 3.952 5.930
7.905 5.929 5.929
9.882 7.905 5.929
11.859 9.882 5.929
15.813 11.857 7.907
7.907 3.950 7.907
9.882 5.929 7.905
11.859 7.905 7.905
13.835 9.882 7.905
9.882 3.950 9.882
11.859 5.929 9.882
13.835 7.905 9.882
15.814 9.882 9.882
0.000 3.957 3.957
1.977 5.929 3.953
3.953 7.905 3.953
5.925 9.882 3.957
7.907 11.857 3.950
1.977 3.953 5.929
3.952 5.930 5.930
5.929 7.905 5.929
7.905 9.882 5.929
9.882 11.859 5.929
3.953 3.953 7.905
5.929 5.929 7.905
7.905 7.905 7.905
9.882 9.882 7.905
11.859 11.859 7.905
5.925 3.957 9.882
7.905 5.929 9.882
9.882 7.905 9.882
11.859 9.882 9.882
13.835 11.859 9.882
7.907 3.950 11.857
9.882 5.929 11.859
11.859 7.905 11.859
13.835 9.882 11.859
15.813 11.857 11.857
0.000 5.925 5.925
11.857 7.907 15.813
3.957 9.882 5.925
5.929 11.859 5.929
7.905 13.834 5.929
11.857 15.813 7.907
3.950 7.907 7.907
5.929 9.882 7.905
7.905 11.859 7.905
9.882 13.835 7.905
3.957 5.925 9.882
5.929 7.905 9.882
7.905 9.882 9.882
9.882 11.859 9.882
11.859 13.835 9.882
5.929 5.929 11.859
7.905 7.905 11.859
9.882 9.882 11.859
11.859 11.859 11.859
13.834 13.834 11.859
7.905 5.929 13.834
9.882 7.905 13.835
11.859 9.882 13.835
13.834 11.859 13.834
15.811 13.834 13.834
3.950 11.857 7.907
5.929 13.834 7.905
7.907 15.813 7.907
3.950 9.882 9.882
5.929 11.859 9.882
7.905 13.835 9.882
9.882 15.814 9.882
3.950 7.907 11.857
5.929 9.882 11.859
7.905 11.859 11.859
9.882 13.835 11.859
11.857 15.813 11.857
5.929 7.905 13.834
7.905 9.882 13.835
9.882 11.859 13.835
11.859 13.834 13.834
13.834 15.811 13.834
7.907 7.907 15.813
9.882 9.882 15.814
11.857 11.857 15.813
13.834 13.834 15.811
15.811 15.811 15.811
0.000 7.912 7.912
1.970 9.882 7.912
1.970 7.912 9.882
```

- Final energy: -6.043 eV per atom

=====

# 2
First-principles (GGA-PBE) data for a relaxed structure of NaGa4Pd6, as listed in the Open Quantum Materials Database.

Cell and atoms, written as POSCAR:
```
NaGa4Pd6
1.0
7.427 0.000 0.000
-3.714 6.432 0.000
0.000 0.000 3.834
Na Ga Pd
1 4 6
Cartesian
0.000 0.000 0.000
0.000 4.288 0.000
2.202 1.271 1.917
5.225 1.271 1.917
3.714 3.890 1.917
0.000 2.548 1.917
-1.507 5.158 1.917
3.714 0.427 0.000
2.226 3.003 0.000
1.507 5.158 1.917
5.201 3.003 0.000
```

- Final energy: -4.669 eV per atom